*a*
{
  "formula": "ZrTlHg",
  "functional": "GGA-PBE",
  "state": "relaxed",
  "spacegroup": "P3m1 (156)",
  "volume_a3_per_cell": 69.9,
  "cell": [[4.824, 0.000, 0.000], [-2.412, 4.177, 0.000], [0.000, 0.000, 3.466]],
  "species": ["Zr", "Tl", "Hg"],
  "frac_coords": [[0.000, 0.000, 0.000], [0.333, 0.667, 0.611], [0.667, 0.333, 0.328]]
}


*b*
{
  "formula": "ZrTlHg",
  "functional": "GGA-PBE",
  "state": "relaxed",
  "spacegroup": "F-43m (216)",
  "volume_a3_per_cell": 81.3,
  "cell": [[0.000, 3.438, 3.438], [3.438, 0.000, 3.438], [3.438, 3.438, 0.000]],
  "species": ["Zr", "Tl", "Hg"],
  "frac_coords": [[0.000, 0.000, 0.000], [0.750, 0.750, 0.750], [0.250, 0.250, 0.250]]
}


*a* has the most favorable energy; the next structure is 21.3 kJ/mol of atoms above.


*a*
{
  "formula": "Zr5TlHg2",
  "functional": "GGA-PBE",
  "state": "relaxed",
  "spacegroup": "I4/mcm (140)",
  "volume_a3_per_cell": 367.2,
  "cell": [[-3.754, 3.754, 6.515], [3.754, -3.754, 6.515], [3.754, 3.754, -6.515]],
  "species": ["Zr", "Zr", "Zr", "Zr", "Zr", "Zr", "Zr", "Zr", "Zr", "Zr", "Tl", "Tl", "Hg", "Hg", "Hg", "Hg"],
  "frac_coords": [[0.000, 0.000, 0.000], [0.007, 0.507, 0.194], [0.187, 0.993, 0.500], [0.313, 0.813, 0.806], [0.493, 0.687, 0.500], [0.500, 0.500, 0.000], [0.507, 0.313, 0.500], [0.687, 0.187, 0.194], [0.813, 0.007, 0.500], [0.993, 0.493, 0.806], [0.250, 0.250, 0.000], [0.750, 0.750, 0.000], [0.140, 0.360, 0.500], [0.360, 0.860, 0.220], [0.640, 0.140, 0.780], [0.860, 0.640, 0.500]]
}


*b*
{
  "formula": "Zr5TlHg2",
  "functional": "GGA-PBE",
  "state": "relaxed",
  "spacegroup": "I4/mmm (139)",
  "volume_a3_per_cell": 177.8,
  "cell": [[-2.525, 2.525, 6.974], [2.525, -2.525, 6.974], [2.525, 2.525, -6.974]],
  "species": ["Zr", "Zr", "Zr", "Zr", "Zr", "Tl", "Hg", "Hg"],
  "frac_coords": [[0.000, 0.000, 0.000], [0.125, 0.625, 0.500], [0.375, 0.875, 0.500], [0.625, 0.125, 0.500], [0.875, 0.375, 0.500], [0.500, 0.500, 0.000], [0.246, 0.246, 0.000], [0.754, 0.754, 0.000]]
}


*b* has the most favorable energy; the next structure is 4.2 kJ/mol of atoms above.


*a*
{
  "formula": "Zr3TlHg",
  "functional": "GGA-PBE",
  "state": "relaxed",
  "spacegroup": "Pm-3m (221)",
  "volume_a3_per_cell": 146.8,
  "cell": [[5.276, 0.000, 0.000], [0.000, 5.276, 0.000], [0.000, 0.000, 5.276]],
  "species": ["Zr", "Zr", "Zr", "Tl", "Hg"],
  "frac_coords": [[0.000, 0.000, 0.500], [0.000, 0.500, 0.000], [0.500, 0.000, 0.000], [0.500, 0.500, 0.500], [0.000, 0.000, 0.000]]
}


*b*
{
  "formula": "Zr3TlHg",
  "functional": "GGA-PBE",
  "state": "relaxed",
  "spacegroup": "C2/m (12)",
  "volume_a3_per_cell": 226.7,
  "cell": [[8.036, -2.203, 0.000], [8.036, 2.203, 0.000], [-0.831, 0.000, 6.402]],
  "species": ["Zr", "Zr", "Zr", "Zr", "Zr", "Zr", "Tl", "Tl", "Hg", "Hg"],
  "frac_coords": [[0.005, 0.005, 0.252], [0.198, 0.198, 0.851], [0.401, 0.401, 0.452], [0.599, 0.599, 0.548], [0.802, 0.802, 0.149], [0.995, 0.995, 0.748], [0.201, 0.201, 0.343], [0.799, 0.799, 0.657], [0.402, 0.402, 0.966], [0.598, 0.598, 0.034]]
}


*b* has the most favorable energy; the next structure is 86.8 kJ/mol of atoms above.


*a*
{
  "formula": "Zr6TlHg",
  "functional": "GGA-PBE",
  "state": "relaxed",
  "spacegroup": "P4/mmm (123)",
  "volume_a3_per_cell": 178.0,
  "cell": [[4.468, 0.000, 0.000], [0.000, 4.468, 0.000], [0.000, 0.000, 8.919]],
  "species": ["Zr", "Zr", "Zr", "Zr", "Zr", "Zr", "Tl", "Hg"],
  "frac_coords": [[0.000, 0.000, 0.000], [0.000, 0.000, 0.500], [0.000, 0.500, 0.248], [0.000, 0.500, 0.752], [0.500, 0.000, 0.248], [0.500, 0.000, 0.752], [0.500, 0.500, 0.500], [0.500, 0.500, 0.000]]
}


*b*
{
  "formula": "Zr6TlHg",
  "functional": "GGA-PBE",
  "state": "relaxed",
  "spacegroup": "Pm-3 (200)",
  "volume_a3_per_cell": 178.5,
  "cell": [[5.630, 0.000, 0.000], [0.000, 5.630, 0.000], [0.000, 0.000, 5.630]],
  "species": ["Zr", "Zr", "Zr", "Zr", "Zr", "Zr", "Tl", "Hg"],
  "frac_coords": [[0.000, 0.248, 0.500], [0.000, 0.752, 0.500], [0.248, 0.500, 0.000], [0.500, 0.000, 0.248], [0.500, 0.000, 0.752], [0.752, 0.500, 0.000], [0.500, 0.500, 0.500], [0.000, 0.000, 0.000]]
}


*b* has the most favorable energy; the next structure is 2.6 kJ/mol of atoms above.


*a*
{
  "formula": "TmHg6",
  "functional": "GGA-PBE",
  "state": "relaxed",
  "spacegroup": "Im-3m (229)",
  "volume_a3_per_cell": 254.2,
  "cell": [[-3.991, 3.991, 3.991], [3.991, -3.991, 3.991], [3.991, 3.991, -3.991]],
  "species": ["Tm", "Hg", "Hg", "Hg", "Hg", "Hg", "Hg"],
  "frac_coords": [[0.000, 0.000, 0.000], [0.250, 0.500, 0.750], [0.250, 0.750, 0.500], [0.500, 0.250, 0.750], [0.500, 0.750, 0.250], [0.750, 0.250, 0.500], [0.750, 0.500, 0.250]]
}


*b*
{
  "formula": "TmHg6",
  "functional": "GGA-PBE",
  "state": "relaxed",
  "spacegroup": "R-3m (166)",
  "volume_a3_per_cell": 172.8,
  "cell": [[2.568, 1.483, 7.564], [-2.568, 1.483, 7.564], [0.000, -2.965, 7.564]],
  "species": ["Tm", "Hg", "Hg", "Hg", "Hg", "Hg", "Hg"],
  "frac_coords": [[0.000, 0.000, 0.000], [0.139, 0.139, 0.139], [0.283, 0.283, 0.283], [0.423, 0.423, 0.423], [0.577, 0.577, 0.577], [0.717, 0.717, 0.717], [0.861, 0.861, 0.861]]
}


*b* has the most favorable energy; the next structure is 57.5 kJ/mol of atoms above.


*a*
{
  "formula": "Tm3Hg4",
  "functional": "GGA-PBE",
  "state": "relaxed",
  "spacegroup": "I-43d (220)",
  "volume_a3_per_cell": 357.4,
  "cell": [[-4.471, 4.471, 4.471], [4.471, -4.471, 4.471], [4.471, 4.471, -4.471]],
  "species": ["Tm", "Tm", "Tm", "Tm", "Tm", "Tm", "Hg", "Hg", "Hg", "Hg", "Hg", "Hg", "Hg", "Hg"],
  "frac_coords": [[0.125, 0.750, 0.875], [0.250, 0.625, 0.375], [0.375, 0.250, 0.625], [0.625, 0.375, 0.250], [0.750, 0.875, 0.125], [0.875, 0.125, 0.750], [0.000, 0.334, 0.500], [0.000, 0.834, 0.500], [0.166, 0.166, 0.166], [0.334, 0.500, 0.000], [0.500, 0.000, 0.334], [0.500, 0.000, 0.834], [0.666, 0.666, 0.666], [0.834, 0.500, 0.000]]
}


*b*
{
  "formula": "Tm3Hg4",
  "functional": "GGA-PBE",
  "state": "relaxed",
  "spacegroup": "R-3m (166)",
  "volume_a3_per_cell": 187.9,
  "cell": [[2.519, 1.455, 8.543], [-2.519, 1.455, 8.543], [0.000, -2.909, 8.543]],
  "species": ["Tm", "Tm", "Tm", "Hg", "Hg", "Hg", "Hg"],
  "frac_coords": [[0.000, 0.000, 0.000], [0.245, 0.245, 0.245], [0.755, 0.755, 0.755], [0.127, 0.127, 0.127], [0.375, 0.375, 0.375], [0.625, 0.625, 0.625], [0.873, 0.873, 0.873]]
}


*a* has the most favorable energy; the next structure is 6.5 kJ/mol of atoms above.


*a*
{
  "formula": "Tm4Hg",
  "functional": "GGA-PBE",
  "state": "relaxed",
  "spacegroup": "Pm-3m (221)",
  "volume_a3_per_cell": 173.4,
  "cell": [[5.577, 0.000, 0.000], [0.000, 5.577, 0.000], [0.000, 0.000, 5.577]],
  "species": ["Tm", "Tm", "Tm", "Tm", "Hg"],
  "frac_coords": [[0.000, 0.000, 0.000], [0.000, 0.500, 0.500], [0.500, 0.000, 0.500], [0.500, 0.500, 0.000], [0.500, 0.500, 0.500]]
}


*b*
{
  "formula": "Tm4Hg",
  "functional": "GGA-PBE",
  "state": "relaxed",
  "spacegroup": "I4_1/a (88)",
  "volume_a3_per_cell": 297.3,
  "cell": [[-3.182, 3.182, 7.339], [3.182, -3.182, 7.339], [3.182, 3.182, -7.339]],
  "species": ["Tm", "Tm", "Tm", "Tm", "Tm", "Tm", "Tm", "Tm", "Hg", "Hg"],
  "frac_coords": [[0.153, 0.797, 0.859], [0.206, 0.347, 0.144], [0.297, 0.938, 0.644], [0.438, 0.294, 0.641], [0.562, 0.706, 0.359], [0.703, 0.062, 0.356], [0.794, 0.653, 0.856], [0.847, 0.203, 0.141], [0.125, 0.375, 0.750], [0.875, 0.625, 0.250]]
}


*b* has the most favorable energy; the next structure is 35.5 kJ/mol of atoms above.


*a*
{
  "formula": "TmHg7",
  "functional": "GGA-PBE",
  "state": "relaxed",
  "spacegroup": "I4/mmm (139)",
  "volume_a3_per_cell": 196.9,
  "cell": [[-2.267, 2.267, 9.575], [2.267, -2.267, 9.575], [2.267, 2.267, -9.575]],
  "species": ["Tm", "Hg", "Hg", "Hg", "Hg", "Hg", "Hg", "Hg"],
  "frac_coords": [[0.000, 0.000, 0.000], [0.122, 0.622, 0.500], [0.251, 0.251, 0.000], [0.378, 0.878, 0.500], [0.500, 0.500, 0.000], [0.622, 0.122, 0.500], [0.749, 0.749, 0.000], [0.878, 0.378, 0.500]]
}


*b*
{
  "formula": "TmHg7",
  "functional": "GGA-PBE",
  "state": "relaxed",
  "spacegroup": "Fm-3m (225)",
  "volume_a3_per_cell": 202.7,
  "cell": [[0.000, 4.662, 4.662], [4.662, 0.000, 4.662], [4.662, 4.662, 0.000]],
  "species": ["Tm", "Hg", "Hg", "Hg", "Hg", "Hg", "Hg", "Hg"],
  "frac_coords": [[0.000, 0.000, 0.000], [0.000, 0.000, 0.500], [0.000, 0.500, 0.000], [0.000, 0.500, 0.500], [0.500, 0.000, 0.000], [0.500, 0.000, 0.500], [0.500, 0.500, 0.000], [0.500, 0.500, 0.500]]
}


*a* has the most favorable energy; the next structure is 2.1 kJ/mol of atoms above.